No. 1
Material: TaFeSi
Method: DFT, PBE
State: relaxed

Calculated values
electronic total energy = -8.55 eV per atom
density of states at the Fermi level = 0.74 states/eV per atom
formation energy from raw total energies = 0.031 eV/atom

a = 2.838 Å, b = 2.838 Å, c = 6.118 Å
α = 90.00°, β = 90.00°, γ = 120.00°
Element x y z (fractional)
Ta 0.000 0.000 0.000
Fe 0.667 0.333 0.349
Si 0.333 0.667 0.632

No. 2
Material: SiGeAu3
Method: DFT, PBE
State: relaxed

Calculated values
energy above the most stable polymorph in this dataset = 279 meV/atom
electronic total energy = -3.62 eV per atom
density of states at the Fermi level = 0.47 states/eV per atom
formation energy from raw total energies = 0.355 eV/atom

a = 4.780 Å, b = 4.780 Å, c = 4.780 Å
α = 90.00°, β = 90.00°, γ = 90.00°
Element x y z (fractional)
Si 0.000 0.000 0.000
Ge 0.500 0.500 0.500
Au 0.000 0.000 0.500
Au 0.000 0.500 0.000
Au 0.500 0.000 0.000

- Number 1 is which compound?
  TaFeSi

- Among the records above, which one has the highest electronic total energy?
  SiGeAu3

- Number 1 is which compound?
  TaFeSi